Entry from Alexandria: crystalline YReAs at its relaxed geometry (PBE).

Its space group is I4/mmm, No. 139. As for the energy above the most stable polymorph in this dataset: 0.0 meV per atom. The calculation puts the density of states at the Fermi level at 6.8 states/eV/cell. Its total moment is 0.00 μB per formula unit. The formation energy is -0.5947 eV per atom.

Lattice parameters (Å, degrees): 4.1107 4.1107 13.8805 90.00 90.00 90.00
Fractional positions:
As1 0.5000 0.5000 0.6197
As2 0.0000 0.0000 0.1197
As3 0.0000 0.0000 0.8803
Re1 0.5000 0.0000 0.5000
Y1 0.0000 0.0000 0.6572
Re2 0.0000 0.5000 0.5000
Y2 0.5000 0.5000 0.1572
Re3 0.5000 0.0000 0.0000
As4 0.5000 0.5000 0.3803
Y3 0.5000 0.5000 0.8428
Y4 0.0000 0.0000 0.3428
Re4 0.0000 0.5000 0.0000



Entry from Alexandria: crystalline YReAs2 at its relaxed geometry (PBE).

Its space group is Fm-3m, No. 225. As for the energy above the most stable polymorph in this dataset: 119.5 meV per atom. The calculation puts the density of states at the Fermi level at 0.4 states/eV/cell. Its total moment is 0.00 μB per formula unit. The formation energy is -0.3015 eV per atom.

Lattice parameters (Å, degrees): 4.6569 4.6569 4.6569 60.00 60.00 60.00
Fractional positions:
As1 0.7500 0.7500 0.7500
Y1 0.0000 0.0000 0.0000
Re1 0.5000 0.5000 0.5000
As2 0.2500 0.2500 0.2500



Entry from Alexandria: crystalline YRe2As2 at its relaxed geometry (PBE).

Its space group is I4/mmm, No. 139. The calculation puts the density of states at the Fermi level at 5.4 states/eV/cell. Its total moment is 0.00 μB per formula unit. The formation energy is -0.2187 eV per atom.

Lattice parameters (Å, degrees): 4.5724 4.5724 5.6126 65.96 65.96 90.00
Fractional positions:
As1 0.7500 0.2500 0.5000
Y1 0.0000 0.0000 0.0000
As2 0.2500 0.7500 0.5000
Re1 0.3727 0.3727 0.2547
Re2 0.6273 0.6273 0.7453



Entry from Alexandria: crystalline Y3ReAs at its relaxed geometry (PBE).

Its space group is Pm-3m, No. 221. As for the energy above the most stable polymorph in this dataset: 0.0 meV per atom. The calculation puts the density of states at the Fermi level at 7.9 states/eV/cell. Its total moment is 0.00 μB per formula unit. The formation energy is 0.2070 eV per atom.

Lattice parameters (Å, degrees): 5.3181 5.3181 5.3181 90.00 90.00 90.00
Fractional positions:
Re1 0.0000 0.0000 0.0000
Y1 0.0000 0.0000 0.5000
As1 0.5000 0.5000 0.5000
Y2 0.5000 0.0000 0.0000
Y3 0.0000 0.5000 0.0000



Entry from Alexandria: crystalline YReAs at its relaxed geometry (PBE).

Its space group is P-6m2, No. 187. As for the energy above the most stable polymorph in this dataset: 342.0 meV per atom. The calculation puts the density of states at the Fermi level at 1.8 states/eV/cell. Its total moment is 0.00 μB per formula unit. The formation energy is -0.2527 eV per atom.

Lattice parameters (Å, degrees): 4.3289 4.3289 3.7040 90.00 90.00 120.00
Fractional positions:
Re1 0.6667 0.3333 0.1668
As1 0.0000 0.0000 0.1667
Y1 0.3333 0.6667 0.6665



Entry from Alexandria: crystalline YReAs at its relaxed geometry (PBE).

Its space group is F-43m, No. 216. As for the energy above the most stable polymorph in this dataset: 728.4 meV per atom. The calculation puts the density of states at the Fermi level at 2.0 states/eV/cell. Its total moment is 1.35 μB per formula unit. The formation energy is 0.1338 eV per atom.

Lattice parameters (Å, degrees): 4.4694 4.4694 4.4694 60.00 60.00 60.00
Fractional positions:
Re1 0.0000 0.0000 0.0000
Y1 0.5000 0.5000 0.5000
As1 0.2500 0.2500 0.2500



Entry from Alexandria: crystalline YRe4As at its relaxed geometry (PBE).

Its space group is F-43m, No. 216. The calculation puts the density of states at the Fermi level at 4.2 states/eV/cell. Its total moment is 0.00 μB per formula unit. The formation energy is 0.2733 eV per atom.

Lattice parameters (Å, degrees): 5.3356 5.3356 5.3356 60.00 60.00 60.00
Fractional positions:
Re1 0.3740 0.8780 0.3740
Re2 0.3740 0.3740 0.8780
As1 0.0000 0.0000 0.0000
Y1 0.7500 0.7500 0.7500
Re3 0.8780 0.3740 0.3740
Re4 0.3740 0.3740 0.3740



Entry from Alexandria: crystalline Y4ReAs at its relaxed geometry (PBE).

Its space group is F-43m, No. 216. The calculation puts the density of states at the Fermi level at 7.9 states/eV/cell. Its total moment is 0.84 μB per formula unit. The formation energy is 0.8300 eV per atom.

Lattice parameters (Å, degrees): 5.9564 5.9564 5.9564 60.00 60.00 60.00
Fractional positions:
Y1 0.8800 0.3733 0.3733
Y2 0.3733 0.8800 0.3733
Y3 0.3733 0.3733 0.8800
Y4 0.3733 0.3733 0.3733
Re1 0.0000 0.0000 0.0000
As1 0.7500 0.7500 0.7500



Entry from Alexandria: crystalline Y2ReAs2 at its relaxed geometry (PBE).

Its space group is P4/mbm, No. 127. The calculation puts the density of states at the Fermi level at 7.6 states/eV/cell. Its total moment is 0.00 μB per formula unit. The formation energy is -0.6971 eV per atom.

Lattice parameters (Å, degrees): 6.8526 6.8526 4.2496 90.00 90.00 90.00
Fractional positions:
Y1 0.1705 0.6705 0.5000
Re1 0.0000 0.0000 0.0000
Y2 0.3295 0.1705 0.5000
As1 0.6434 0.1434 0.0000
As2 0.3566 0.8566 0.0000
Y3 0.8295 0.3295 0.5000
As3 0.1434 0.3566 0.0000
As4 0.8566 0.6434 0.0000
Y4 0.6705 0.8295 0.5000
Re2 0.5000 0.5000 0.0000



Entry from Alexandria: crystalline YReAs2 at its relaxed geometry (PBE).

Its space group is I-4m2, No. 119. As for the energy above the most stable polymorph in this dataset: 496.0 meV per atom. The calculation puts the density of states at the Fermi level at 3.5 states/eV/cell. Its total moment is 1.15 μB per formula unit. The formation energy is 0.0750 eV per atom.

Lattice parameters (Å, degrees): 5.5887 5.5887 5.5887 138.54 138.54 60.07
Fractional positions:
Re1 0.5000 0.5000 0.0000
Y1 0.7500 0.2500 0.5000
As1 0.0000 0.0000 0.0000
As2 0.2500 0.7500 0.5000



Entry from Alexandria: crystalline YReAs at its relaxed geometry (PBE).

Its space group is Cm, No. 8. As for the energy above the most stable polymorph in this dataset: 284.6 meV per atom. The calculation puts the density of states at the Fermi level at 9.4 states/eV/cell. Its total moment is 0.00 μB per formula unit. The formation energy is -0.3101 eV per atom.

Lattice parameters (Å, degrees): 5.7974 4.1485 11.6251 90.00 106.97 90.00
Fractional positions:
As1 0.2911 0.0000 0.4049
As2 0.2911 0.5000 0.9049
Y1 0.9518 0.0000 0.8201
Re1 0.1442 0.5000 0.6664
Re2 0.0360 0.0000 0.5507
Y2 0.9518 0.5000 0.3201
Y3 0.5889 0.0000 0.0515
Re3 0.0360 0.5000 0.0507
Y4 0.5889 0.5000 0.5515
As3 0.4493 0.0000 0.7182
Re4 0.1442 0.0000 0.1664
As4 0.4493 0.5000 0.2182



Entry from Alexandria: crystalline YReAs at its relaxed geometry (PBE).

Its space group is Ima2, No. 46. As for the energy above the most stable polymorph in this dataset: 58.4 meV per atom. The calculation puts the density of states at the Fermi level at 6.5 states/eV/cell. Its total moment is 0.00 μB per formula unit. The formation energy is -0.5362 eV per atom.

Lattice parameters (Å, degrees): 4.1247 9.0747 6.8454 90.00 90.00 90.00
Fractional positions:
Y1 0.7500 0.8342 0.7570
Re1 0.7500 0.4274 0.9133
As1 0.7500 0.3396 0.5609
Re2 0.2500 0.9274 0.4133
Re3 0.7500 0.0726 0.4133
Y2 0.2500 0.1658 0.7570
As2 0.2500 0.8396 0.0609
Y3 0.2500 0.3342 0.2570
Re4 0.2500 0.5726 0.9133
Y4 0.7500 0.6658 0.2570
As3 0.7500 0.1604 0.0609
As4 0.2500 0.6604 0.5609



The highest total moment belongs to which entry?
number 6



What is the formation energy in the ninth record?
-0.6971 eV per atom